DFT (meta-GGA SCAN) results for a crystal of Mg2SiTe relaxed with PBEsol.

energy above the most stable polymorph in this dataset	0	meV/atom
SG	Imm2 (44)
DOS(E_F)	2.01	states/eV/f.u.
ΔE_f (raw)	-4	kJ/mol of atoms

Lattice parameters (Å, degrees): 3.8700 3.8291 6.7436 106.49 106.67 90.00
With the nearest neighbours (Å) after each atom.
Sites, in units of the cell vectors:
Mg1 0.9742 0.9742 0.9484  4 Si 2.83, 2 Te 2.96
Mg2 0.1987 0.6987 0.3973  2 Si 2.79, 4 Te 2.95
Si1 0.5360 0.5360 0.0721  6 Mg 2.79-2.83
Te1 0.7911 0.2911 0.5823  6 Mg 2.95-2.96